(1)
{"formula": "SrSe2Cl", "functional": "GGA-PBE", "state": "optimized geometry", "n_ef_per_ev_cell": 2.390, "e_tot_ev_per_atom": -3.8064, "total_magnetization_mub_per_cell": 0.0, "formation_energy_uncorrected_kj_per_mol_fu": -456, "e_above_lowest_polymorph_ev_per_atom": 0.103, "lattice": [[5.767, 0.000, 0.000], [0.000, 5.798, 0.000], [0.000, 0.000, 12.614]], "species": ["Sr", "Sr", "Sr", "Sr", "Se", "Se", "Se", "Se", "Se", "Se", "Se", "Se", "Cl", "Cl", "Cl", "Cl"], "fractional_positions": [[0.000, 0.000, 0.000], [0.000, 0.500, 0.500], [0.500, 0.000, 0.500], [0.500, 0.500, 0.000], [0.000, 0.250, 0.250], [0.000, 0.250, 0.750], [0.000, 0.750, 0.250], [0.000, 0.750, 0.750], [0.500, 0.250, 0.250], [0.500, 0.250, 0.750], [0.500, 0.750, 0.250], [0.500, 0.750, 0.750], [0.000, 0.000, 0.500], [0.000, 0.500, 0.000], [0.500, 0.000, 0.000], [0.500, 0.500, 0.500]]}

---

(2)
{"formula": "CoTe2Pd", "functional": "GGA-PBE", "state": "optimized geometry", "n_ef_per_ev_cell": 13.827, "e_tot_ev_per_atom": -4.6614, "total_magnetization_mub_per_cell": 0.0, "formation_energy_uncorrected_kj_per_mol_fu": -6, "lattice": [[3.609, 0.000, 0.000], [-1.805, 3.126, 0.000], [0.000, 0.000, 24.088]], "species": ["Co", "Co", "Co", "Te", "Te", "Te", "Te", "Te", "Te", "Pd", "Pd", "Pd"], "fractional_positions": [[0.000, 0.000, 0.000], [0.333, 0.667, 0.667], [0.667, 0.333, 0.333], [0.000, 0.000, 0.393], [0.000, 0.000, 0.607], [0.333, 0.667, 0.060], [0.333, 0.667, 0.274], [0.667, 0.333, 0.726], [0.667, 0.333, 0.940], [0.000, 0.000, 0.500], [0.333, 0.667, 0.167], [0.667, 0.333, 0.833]]}

---

(3)
{"formula": "Pm4MgZn2Ga", "functional": "GGA-PBE", "state": "optimized geometry", "ef_mev_per_atom": -320, "n_ef_per_ev_cell": 9.557, "e_tot_ev_per_atom": -3.5910, "total_magnetization_mub_per_cell": 0.0, "lattice": [[2.619, 1.512, 8.601], [-2.619, 1.512, 8.601], [0.000, -3.024, 8.601]], "species": ["Pm", "Pm", "Pm", "Pm", "Mg", "Zn", "Zn", "Ga"], "fractional_positions": [[0.120, 0.120, 0.120], [0.371, 0.371, 0.371], [0.629, 0.629, 0.629], [0.880, 0.880, 0.880], [0.500, 0.500, 0.500], [0.242, 0.242, 0.242], [0.758, 0.758, 0.758], [0.000, 0.000, 0.000]]}

---

(4)
{"formula": "Ti5Os4Au", "functional": "GGA-PBE", "state": "optimized geometry", "ef_mev_per_atom": -618, "n_ef_per_ev_cell": 5.908, "e_tot_ev_per_atom": -9.3851, "total_magnetization_mub_per_cell": 0.0, "lattice": [[3.074, 0.000, 0.000], [0.000, 3.074, 0.000], [0.000, 0.000, 16.246]], "species": ["Ti", "Ti", "Ti", "Ti", "Ti", "Os", "Os", "Os", "Os", "Au"], "fractional_positions": [[0.000, 0.000, 0.000], [0.000, 0.000, 0.191], [0.000, 0.000, 0.383], [0.000, 0.000, 0.617], [0.000, 0.000, 0.809], [0.500, 0.500, 0.096], [0.500, 0.500, 0.288], [0.500, 0.500, 0.712], [0.500, 0.500, 0.904], [0.500, 0.500, 0.500]]}

---

(5)
{"formula": "Y4Pt", "functional": "GGA-PBE", "state": "optimized geometry", "ef_mev_per_atom": -41, "n_ef_per_ev_cell": 16.992, "e_tot_ev_per_atom": -6.4207, "total_magnetization_mub_per_cell": 0.0, "e_above_lowest_polymorph_ev_per_atom": 0.455, "lattice": [[0.000, 5.504, 5.504], [5.504, 0.000, 5.504], [5.504, 5.504, 0.000]], "species": ["Y", "Y", "Y", "Y", "Y", "Y", "Y", "Y", "Pt", "Pt"], "fractional_positions": [[0.207, 0.764, 0.764], [0.236, 0.236, 0.236], [0.236, 0.236, 0.793], [0.236, 0.793, 0.236], [0.764, 0.207, 0.764], [0.764, 0.764, 0.207], [0.764, 0.764, 0.764], [0.793, 0.236, 0.236], [0.375, 0.375, 0.375], [0.625, 0.625, 0.625]]}

---

(6)
{"formula": "Sr5CdHg4", "functional": "GGA-PBE", "state": "optimized geometry", "ef_mev_per_atom": -492, "n_ef_per_ev_cell": 7.186, "e_tot_ev_per_atom": -1.5453, "total_magnetization_mub_per_cell": 0.0, "lattice": [[4.004, 0.000, 0.000], [0.000, 4.004, 0.000], [0.000, 0.000, 20.190]], "species": ["Sr", "Sr", "Sr", "Sr", "Sr", "Cd", "Hg", "Hg", "Hg", "Hg"], "fractional_positions": [[0.000, 0.000, 0.000], [0.000, 0.000, 0.199], [0.000, 0.000, 0.397], [0.000, 0.000, 0.603], [0.000, 0.000, 0.801], [0.500, 0.500, 0.500], [0.500, 0.500, 0.099], [0.500, 0.500, 0.299], [0.500, 0.500, 0.701], [0.500, 0.500, 0.901]]}

---

(7)
{"formula": "BaCdTe4Pb2", "functional": "GGA-PBE", "state": "optimized geometry", "e_tot_ev_per_atom": -3.5545, "total_magnetization_mub_per_cell": 0.0, "formation_energy_uncorrected_kj_per_mol_fu": -542, "lattice": [[2.336, -7.825, 0.000], [2.336, 7.825, 0.000], [0.000, 0.000, 16.200]], "species": ["Ba", "Ba", "Cd", "Cd", "Te", "Te", "Te", "Te", "Te", "Te", "Te", "Te", "Pb", "Pb", "Pb", "Pb"], "fractional_positions": [[0.124, 0.876, 0.750], [0.876, 0.124, 0.250], [0.152, 0.848, 0.250], [0.848, 0.152, 0.750], [0.000, 0.000, 0.000], [0.000, 0.000, 0.500], [0.272, 0.728, 0.118], [0.272, 0.728, 0.382], [0.453, 0.547, 0.750], [0.547, 0.453, 0.250], [0.728, 0.272, 0.618], [0.728, 0.272, 0.882], [0.372, 0.628, 0.556], [0.372, 0.628, 0.944], [0.628, 0.372, 0.056], [0.628, 0.372, 0.444]]}

---

(8)
{"formula": "LiBe2Mo2", "functional": "GGA-PBE", "state": "optimized geometry", "ef_mev_per_atom": 228, "n_ef_per_ev_cell": 8.634, "e_tot_ev_per_atom": -5.9780, "total_magnetization_mub_per_cell": 0.0, "lattice": [[5.990, 0.000, 0.000], [0.000, 5.990, 0.000], [0.000, 0.000, 3.324]], "species": ["Li", "Li", "Be", "Be", "Be", "Be", "Mo", "Mo", "Mo", "Mo"], "fractional_positions": [[0.000, 0.000, 0.000], [0.500, 0.500, 0.000], [0.119, 0.381, 0.000], [0.381, 0.881, 0.000], [0.619, 0.119, 0.000], [0.881, 0.619, 0.000], [0.177, 0.677, 0.500], [0.323, 0.177, 0.500], [0.677, 0.823, 0.500], [0.823, 0.323, 0.500]]}

---

(9)
{"formula": "Pm2Tm7Th2", "functional": "GGA-PBE", "state": "optimized geometry", "ef_mev_per_atom": 182, "n_ef_per_ev_cell": 17.312, "e_tot_ev_per_atom": -4.8758, "total_magnetization_mub_per_cell": 0.0, "e_above_lowest_polymorph_ev_per_atom": 0.004, "lattice": [[5.527, -5.715, 0.000], [5.527, 5.715, 0.000], [-2.456, 0.000, 5.569]], "species": ["Pm", "Pm", "Tm", "Tm", "Tm", "Tm", "Tm", "Tm", "Tm", "Th", "Th"], "fractional_positions": [[0.211, 0.789, 0.000], [0.789, 0.211, 0.000], [0.000, 0.000, 0.500], [0.068, 0.589, 0.329], [0.243, 0.243, 0.075], [0.411, 0.932, 0.671], [0.589, 0.068, 0.329], [0.757, 0.757, 0.925], [0.932, 0.411, 0.671], [0.407, 0.407, 0.686], [0.593, 0.593, 0.314]]}

---

(10)
{"formula": "AlCrRh", "functional": "GGA-PBE", "state": "optimized geometry", "ef_mev_per_atom": -199, "n_ef_per_ev_cell": 2.852, "e_tot_ev_per_atom": -7.1046, "total_magnetization_mub_per_cell": 0.0, "lattice": [[4.161, 0.000, 0.000], [-2.080, 3.603, 0.000], [0.000, 0.000, 2.684]], "species": ["Al", "Cr", "Rh"], "fractional_positions": [[0.000, 0.000, 0.000], [0.667, 0.333, 0.375], [0.333, 0.667, 0.728]]}

---

(11)
{"formula": "LiZnCuGe", "functional": "GGA-PBE", "state": "optimized geometry", "ef_mev_per_atom": -142, "n_ef_per_ev_cell": 1.900, "e_tot_ev_per_atom": -3.1176, "total_magnetization_mub_per_cell": 0.0, "e_above_lowest_polymorph_ev_per_atom": 0.000, "lattice": [[6.064, 0.000, 0.000], [0.000, 6.064, 0.000], [0.000, 0.000, 6.064]], "species": ["Li", "Li", "Li", "Li", "Zn", "Zn", "Zn", "Zn", "Cu", "Cu", "Cu", "Cu", "Ge", "Ge", "Ge", "Ge"], "fractional_positions": [[0.000, 0.000, 0.000], [0.000, 0.500, 0.500], [0.500, 0.000, 0.500], [0.500, 0.500, 0.000], [0.250, 0.250, 0.250], [0.250, 0.750, 0.750], [0.750, 0.250, 0.750], [0.750, 0.750, 0.250], [0.000, 0.000, 0.500], [0.000, 0.500, 0.000], [0.500, 0.000, 0.000], [0.500, 0.500, 0.500], [0.250, 0.250, 0.750], [0.250, 0.750, 0.250], [0.750, 0.250, 0.250], [0.750, 0.750, 0.750]]}

---

(12)
{"formula": "CeMgTlSn", "functional": "GGA-PBE", "state": "optimized geometry", "ef_mev_per_atom": -294, "n_ef_per_ev_cell": 19.538, "e_tot_ev_per_atom": -3.7682, "total_magnetization_mub_per_cell": 2.3, "e_above_lowest_polymorph_ev_per_atom": 0.084, "lattice": [[7.498, 0.000, 0.000], [0.000, 7.498, 0.000], [0.000, 0.000, 7.498]], "species": ["Ce", "Ce", "Ce", "Ce", "Mg", "Mg", "Mg", "Mg", "Tl", "Tl", "Tl", "Tl", "Sn", "Sn", "Sn", "Sn"], "fractional_positions": [[0.000, 0.000, 0.000], [0.000, 0.500, 0.500], [0.500, 0.000, 0.500], [0.500, 0.500, 0.000], [0.000, 0.000, 0.500], [0.000, 0.500, 0.000], [0.500, 0.000, 0.000], [0.500, 0.500, 0.500], [0.250, 0.250, 0.750], [0.250, 0.750, 0.250], [0.750, 0.250, 0.250], [0.750, 0.750, 0.750], [0.250, 0.250, 0.250], [0.250, 0.750, 0.750], [0.750, 0.250, 0.750], [0.750, 0.750, 0.250]]}

---

What is the formula in the eleventh record?
LiZnCuGe